No. 1
This record from Alexandria describes a relaxed structure of AlHgMo. The functional is GGA-PBE.

```
AlHgMo
1.0
-1.186 -3.643 2.503
0.651 -0.436 -4.508
2.750 -0.584 0.454
Hg Mo Al
1 1 1
Direct
0.333 0.667 0.166 Hg
0.667 0.333 0.667 Mo
0.000 0.000 0.167 Al
```

Computed properties:
Total moment   0.00 μB/f.u.
Energy relative to the elements   0.35 eV per atom
Crystal system   hexagonal
Energy above the most stable polymorph in this dataset   67 meV/atom
Final energy   -4.611 eV/atom
Space-group type   P-6m2

***

No. 2
This record from Alexandria describes a relaxed structure of Al2HgMo. The functional is GGA-PBE.

```
Al2HgMo
1.0
5.193 0.007 -0.009
4.414 2.736 -0.009
0.584 0.167 4.831
Mo Hg Al
1 1 2
Direct
0.746 0.746 0.778 Mo
0.491 0.491 0.487 Hg
0.252 0.252 0.263 Al
0.012 0.012 0.972 Al
```

Computed properties:
Total moment   0.00 μB/f.u.
Energy relative to the elements   0.12 eV per atom
Crystal system   monoclinic
Final energy   -4.538 eV/atom
Space-group type   Cm

***

No. 3
This record from Alexandria describes a relaxed structure of AlHg2Mo. The functional is GGA-PBE.

```
AlHg2Mo
1.0
2.904 0.036 0.000
-0.036 2.904 0.000
0.000 0.000 9.085
Al Hg Mo
1 2 1
Direct
0.500 0.500 0.750 Al
0.000 0.000 0.493 Hg
0.000 0.000 0.007 Hg
0.500 0.500 0.250 Mo
```

Computed properties:
Total moment   0.00 μB/f.u.
Energy relative to the elements   0.52 eV per atom
Crystal system   tetragonal
Final energy   -3.275 eV/atom
Space-group type   P4/mmm

***

No. 4
This record from Alexandria describes a relaxed structure of Al2HgMo. The functional is GGA-PBE.

```
Al2HgMo
1.0
-2.027 -2.130 -1.917
-0.794 -1.839 2.883
-4.377 3.336 0.923
Al Mo Hg
2 1 1
Direct
0.500 0.500 0.250 Al
0.000 0.000 0.978 Al
0.500 0.500 0.783 Mo
0.000 0.000 0.488 Hg
```

Computed properties:
Total moment   0.00 μB/f.u.
Energy relative to the elements   0.16 eV per atom
Crystal system   tetragonal
Final energy   -4.497 eV/atom
Space-group type   P4mm

***

No. 5
This record from Alexandria describes a relaxed structure of Al2HgMo. The functional is GGA-PBE.

```
Al2HgMo
1.0
7.157 0.000 0.000
0.000 7.157 0.000
3.578 3.578 2.869
Al Mo Hg
4 2 2
Direct
0.375 0.376 0.750 Al
0.875 0.874 0.750 Al
0.624 0.125 0.250 Al
0.126 0.625 0.250 Al
0.250 0.750 0.500 Mo
0.500 0.500 0.000 Mo
0.000 0.000 0.000 Hg
0.750 0.250 0.500 Hg
```

Computed properties:
Total moment   0.00 μB/f.u.
Energy relative to the elements   0.48 eV per atom
Crystal system   tetragonal
Final energy   -4.173 eV/atom
Space-group type   I-42d

***

No. 6
This record from Alexandria describes a relaxed structure of Al2HgMo. The functional is GGA-PBE.

```
Al2HgMo
1.0
4.260 0.000 0.000
0.000 4.258 0.000
0.000 0.000 3.605
Mo Al Hg
1 2 1
Direct
0.000 0.500 0.500 Mo
0.500 0.500 0.000 Al
0.000 0.000 0.000 Al
0.500 0.000 0.500 Hg
```

Computed properties:
Total moment   0.00 μB/f.u.
Energy relative to the elements   0.08 eV per atom
Crystal system   tetragonal
Final energy   -4.575 eV/atom
Space-group type   P4/mmm

***

No. 7
This record from Alexandria describes a relaxed structure of AlHg2Mo. The functional is GGA-PBE.

```
AlHg2Mo
1.0
9.491 -0.013 -0.008
9.003 3.004 -0.008
9.003 1.456 2.627
Al Hg Mo
1 2 1
Direct
0.250 0.250 0.250 Al
0.999 0.999 0.999 Hg
0.501 0.501 0.501 Hg
0.750 0.750 0.750 Mo
```

Computed properties:
Total moment   0.00 μB/f.u.
Energy relative to the elements   0.44 eV per atom
Crystal system   trigonal
Final energy   -3.358 eV/atom
Space-group type   R-3m

***

No. 8
This record from Alexandria describes a relaxed structure of Al2HgMo. The functional is GGA-PBE.

```
Al2HgMo
1.0
-4.417 1.857 2.185
-2.221 -2.781 3.881
4.789 1.820 -1.217
Al Hg Mo
2 1 1
Direct
0.250 0.750 0.500 Al
0.000 0.000 0.000 Al
0.500 0.500 0.000 Hg
0.750 0.250 0.500 Mo
```

Computed properties:
Total moment   0.00 μB/f.u.
Energy relative to the elements   0.00 eV per atom
Crystal system   tetragonal
Final energy   -4.650 eV/atom
Space-group type   I-4m2